No. 1
Compound: Ca2YRe
Source: Alexandria
Functional: GGA-PBE
Structure: optimized geometry

Properties
Calculated formation energy: 0.8699 eV per atom
Space-group type: I-42d
ΔE to the lowest computed polymorph: 0.483 eV/atom

```
data_Ca2YRe
_chemical_formula_sum 'Ca4 Y2 Re2'
_symmetry_space_group_name_H-M 'P 1'
_symmetry_Int_Tables_number 1
_symmetry_space_group_name_Hall 'P 1'
_cell_length_a 4.377
_cell_length_b 4.377
_cell_length_c 11.559
_cell_angle_alpha 79.09
_cell_angle_beta 79.09
_cell_angle_gamma 90.00
loop_
_atom_site_label
_atom_site_fract_x
_atom_site_fract_y
_atom_site_fract_z
_atom_site_occupancy
Ca1 0.653 0.625 0.250 1
Ca2 0.875 0.347 0.750 1
Ca3 0.097 0.125 0.250 1
Ca4 0.375 0.903 0.750 1
Re1 0.750 0.250 0.500 1
Re2 0.000 0.000 0.000 1
Y1 0.500 0.500 0.000 1
Y2 0.250 0.750 0.500 1
```

***

No. 2
Compound: CoTe2RuN
Source: Alexandria
Functional: GGA-PBE
Structure: optimized geometry

Properties
Formation energy (no corrections): 0.680 eV per atom
Space-group type: P4/mmm
ΔE to the lowest computed polymorph: 0.134 eV/atom

```
data_CoTe2RuN
_chemical_formula_sum 'Co1 Te2 Ru1 N1'
_symmetry_space_group_name_H-M 'P 1'
_symmetry_Int_Tables_number 1
_symmetry_space_group_name_Hall 'P 1'
_cell_length_a 5.377
_cell_length_b 5.377
_cell_length_c 3.612
_cell_angle_alpha 90.00
_cell_angle_beta 90.00
_cell_angle_gamma 90.00
loop_
_atom_site_label
_atom_site_fract_x
_atom_site_fract_y
_atom_site_fract_z
_atom_site_occupancy
Te1 0.500 0.000 0.000 1
Te2 0.000 0.500 0.000 1
Co1 0.500 0.500 0.500 1
N1 0.000 0.000 0.500 1
Ru1 0.000 0.000 0.000 1
```

***

No. 3
Compound: Tl2In2Hg
Source: Alexandria
Functional: GGA-PBE
Structure: optimized geometry

Properties
Calculated formation energy: 0.0371 eV per atom
Space-group type: P4/mbm
ΔE to the lowest computed polymorph: 0.032 eV/atom

```
data_Tl2In2Hg
_chemical_formula_sum 'Tl4 In4 Hg2'
_symmetry_space_group_name_H-M 'P 1'
_symmetry_Int_Tables_number 1
_symmetry_space_group_name_Hall 'P 1'
_cell_length_a 7.682
_cell_length_b 7.682
_cell_length_c 5.038
_cell_angle_alpha 90.00
_cell_angle_beta 90.00
_cell_angle_gamma 90.00
loop_
_atom_site_label
_atom_site_fract_x
_atom_site_fract_y
_atom_site_fract_z
_atom_site_occupancy
Tl1 0.833 0.333 0.500 1
Tl2 0.333 0.167 0.500 1
Tl3 0.667 0.833 0.500 1
Tl4 0.167 0.667 0.500 1
In1 0.141 0.359 0.000 1
In2 0.359 0.859 0.000 1
In3 0.641 0.141 0.000 1
In4 0.859 0.641 0.000 1
Hg1 0.000 0.000 0.000 1
Hg2 0.500 0.500 0.000 1
```

***

No. 4
Compound: Sc2AuBr
Source: Alexandria
Functional: GGA-PBE
Structure: optimized geometry

Properties
Formation energy (no corrections): -0.205 eV per atom
Space-group type: R-3m
ΔE to the lowest computed polymorph: 0.588 eV/atom

```
data_Sc2AuBr
_chemical_formula_sum 'Sc2 Au1 Br1'
_symmetry_space_group_name_H-M 'P 1'
_symmetry_Int_Tables_number 1
_symmetry_space_group_name_Hall 'P 1'
_cell_length_a 10.118
_cell_length_b 10.118
_cell_length_c 10.118
_cell_angle_alpha 18.49
_cell_angle_beta 18.49
_cell_angle_gamma 18.49
loop_
_atom_site_label
_atom_site_fract_x
_atom_site_fract_y
_atom_site_fract_z
_atom_site_occupancy
Au1 0.000 0.000 0.000 1
Sc1 0.092 0.092 0.092 1
Sc2 0.908 0.908 0.908 1
Br1 0.500 0.500 0.500 1
```

***

No. 5
Compound: NaAs2Rh
Source: Alexandria
Functional: GGA-PBE
Structure: optimized geometry

Properties
Calculated formation energy: -0.1773 eV per atom
Space-group type: Fm-3m
ΔE to the lowest computed polymorph: 0.174 eV/atom

```
data_NaAs2Rh
_chemical_formula_sum 'Na1 As2 Rh1'
_symmetry_space_group_name_H-M 'P 1'
_symmetry_Int_Tables_number 1
_symmetry_space_group_name_Hall 'P 1'
_cell_length_a 4.549
_cell_length_b 4.549
_cell_length_c 4.549
_cell_angle_alpha 60.00
_cell_angle_beta 60.00
_cell_angle_gamma 60.00
loop_
_atom_site_label
_atom_site_fract_x
_atom_site_fract_y
_atom_site_fract_z
_atom_site_occupancy
As1 0.250 0.250 0.250 1
As2 0.750 0.750 0.750 1
Rh1 0.500 0.500 0.500 1
Na1 0.000 0.000 0.000 1
```

***

No. 6
Compound: HfScZn2
Source: Alexandria
Functional: GGA-PBE
Structure: optimized geometry

Properties
Calculated formation energy: 0.2019 eV per atom
Space-group type: I-42d

```
data_HfScZn2
_chemical_formula_sum 'Hf2 Sc2 Zn4'
_symmetry_space_group_name_H-M 'P 1'
_symmetry_Int_Tables_number 1
_symmetry_space_group_name_Hall 'P 1'
_cell_length_a 7.284
_cell_length_b 7.284
_cell_length_c 5.995
_cell_angle_alpha 52.59
_cell_angle_beta 52.59
_cell_angle_gamma 90.00
loop_
_atom_site_label
_atom_site_fract_x
_atom_site_fract_y
_atom_site_fract_z
_atom_site_occupancy
Zn1 0.125 0.625 0.250 1
Zn2 0.375 0.375 0.750 1
Zn3 0.875 0.875 0.750 1
Zn4 0.625 0.125 0.250 1
Sc1 0.500 0.500 0.000 1
Sc2 0.250 0.750 0.500 1
Hf1 0.000 0.000 0.000 1
Hf2 0.750 0.250 0.500 1
```

***

No. 7
Compound: SrPmRh
Source: Alexandria
Functional: GGA-PBE
Structure: optimized geometry

Properties
Calculated formation energy: -0.4483 eV per atom
Space-group type: Cmcm
ΔE to the lowest computed polymorph: 0.000 eV/atom

```
data_SrPmRh
_chemical_formula_sum 'Sr2 Pm2 Rh2'
_symmetry_space_group_name_H-M 'P 1'
_symmetry_Int_Tables_number 1
_symmetry_space_group_name_Hall 'P 1'
_cell_length_a 4.242
_cell_length_b 3.917
_cell_length_c 11.660
_cell_angle_alpha 99.67
_cell_angle_beta 90.00
_cell_angle_gamma 90.00
loop_
_atom_site_label
_atom_site_fract_x
_atom_site_fract_y
_atom_site_fract_z
_atom_site_occupancy
Rh1 0.750 0.545 0.090 1
Rh2 0.250 0.455 0.910 1
Pm1 0.750 0.938 0.875 1
Pm2 0.250 0.062 0.125 1
Sr1 0.250 0.319 0.638 1
Sr2 0.750 0.681 0.362 1
```

***

E_tot readings, ordered: -4.86 -5.52 -2.07 -4.61 -4.67 -4.51 -5.04 eV/atom